[1]
This record from Alexandria describes an optimized crystal structure of DyY2Ho6. The functional is GGA-PBE.

Unit cell a=10.6087 b=10.6087 c=5.0052 alpha=90.00 beta=90.00 gamma=90.00
With the nearest neighbours (Å) after each atom.
Space group P4_2/mnm (No. 136)
One atom of each set of equivalent atoms:
Dy 0.0000 0.0000 0.0000 x2  4 Y 3.54, 8 Ho 3.54-3.55
Y 0.1667 0.1667 0.5000 x4  10 Ho 3.54, 2 Dy 3.54
Ho 0.0001 0.3342 0.0000 x8  8 Ho 3.52-3.54, 3 Y 3.54, 1 Dy 3.55
Ho 0.1667 0.8333 0.5000 x4  6 Ho 3.53-3.54, 4 Y 3.54, 2 Dy 3.54

Calculated values
formation energy from the elements = 0.023 eV per atom
total energy = -4.98 eV/atom
ρ = 7.84 Mg/m³
DOS(E_F) = 23.13 states/eV/cell

=====

[2]
This record from Alexandria describes an optimized crystal structure of Dy4Y8Ho3. The functional is GGA-PBE.

Unit cell a=6.9410 b=6.9410 c=35.1847 alpha=90.00 beta=90.00 gamma=120.00
With the nearest neighbours (Å) after each atom.
Space group R-3m (No. 166, hexagonal axes)
One atom of each set of equivalent atoms:
Dy 0.0000 0.0000 0.0000 x3  6 Ho 3.47, 6 Y 3.55
Dy 0.0000 0.0000 0.1639 x6  4 Y 3.20-3.48
Dy 0.0000 0.0000 0.5000 x3  6 Y 3.55
Y 0.0000 0.0000 0.2549 x6  1 Dy 3.20, 3 Ho 3.41, 6 Y 3.47
Y 0.0013 0.5006 0.2502 x18  6 Y 3.46-3.48, 3 Dy 3.48-3.55, 2 Ho 3.54
Ho 0.0000 0.5000 0.0000 x9  6 Y 3.41-3.54, 2 Dy 3.47, 4 Ho 3.47

Calculated values
formation energy from the elements = 0.153 eV per atom
total energy = -5.44 eV/atom
ρ = 6.30 Mg/m³
DOS(E_F) = 72.17 states/eV/cell
polymorph energy (0 for the lowest one) = 0.00 eV per formula unit

=====

[3]
This record from Alexandria describes an optimized crystal structure of Dy3Y5Ho4. The functional is GGA-PBE.

Unit cell a=16.0698 b=5.8531 c=9.2338 alpha=90.00 beta=116.46 gamma=90.00
With the nearest neighbours (Å) after each atom.
Space group C2/m (No. 12)
One atom of each set of equivalent atoms:
Dy 0.0000 0.0000 0.0000 x2  2 Y 2.93
Dy 0.2085 0.5000 0.2299 x4  5 Y 3.06-3.42, 2 Ho 3.29-3.40
Y 0.0000 0.5000 0.0000 x2  4 Dy 2.93-3.06
Y 0.0749 0.0000 0.7024 x4  2 Dy 3.25-3.46, 1 Y 3.43, 2 Ho 3.60
Y 0.1731 0.0000 0.3866 x4  4 Dy 3.19-3.42, 3 Ho 3.42-3.54
Ho 0.0808 0.5000 0.4405 x4  1 Ho 3.24, 1 Dy 3.40, 3 Y 3.42-3.54
Ho 0.2142 0.5000 0.8786 x4  3 Dy 3.29-3.50, 3 Ho 3.55-3.64, 3 Y 3.60-3.64

Calculated values
formation energy from the elements = 0.242 eV per atom
total energy = -5.13 eV/atom
ρ = 6.80 Mg/m³
DOS(E_F) = 40.20 states/eV/cell
polymorph energy (0 for the lowest one) = 2.64 eV per formula unit

=====

[4]
This record from Alexandria describes an optimized crystal structure of Dy7YHo3. The functional is GGA-PBE.

Unit cell a=12.5527 b=11.1230 c=5.7696 alpha=90.00 beta=117.25 gamma=90.00
With the nearest neighbours (Å) after each atom.
Space group C2/m (No. 12)
One atom of each set of equivalent atoms:
Dy 0.0000 0.0000 0.0000 x2  2 Y 2.88
Dy 0.2012 0.3004 0.7009 x8  2 Ho 3.16-3.49, 3 Dy 3.28-3.50
Dy 0.2067 0.5000 0.2051 x4  2 Ho 3.26, 1 Y 3.27, 6 Dy 3.50-3.65
Y 0.0000 0.0000 0.5000 x2  2 Dy 2.88
Ho 0.0000 0.2931 0.0000 x4  5 Dy 3.26-3.49
Ho 0.0000 0.5000 0.5000 x2  4 Dy 3.16

Calculated values
formation energy from the elements = 0.267 eV per atom
total energy = -4.50 eV/atom
ρ = 7.98 Mg/m³
DOS(E_F) = 32.39 states/eV/cell
polymorph energy (0 for the lowest one) = 1.36 eV per formula unit

=====

[5]
This record from Alexandria describes an optimized crystal structure of Dy4Y19Ho6. The functional is GGA-PBE.

Unit cell a=12.4653 b=12.4653 c=12.4653 alpha=90.00 beta=90.00 gamma=90.00
With the nearest neighbours (Å) after each atom.
Space group I23 (No. 197)
One atom of each set of equivalent atoms:
Dy 0.1789 0.1789 0.1789 x8  9 Y 3.32-3.43
Y 0.0000 0.0000 0.0000 x2  6 Y 3.26
Y 0.0000 0.0000 0.2611 x12  5 Y 3.26-3.56, 2 Dy 3.32, 2 Ho 3.36
Y 0.0620 0.2790 0.7349 x24  1 Ho 3.17, 2 Dy 3.35-3.43, 1 Y 3.40
Ho 0.0000 0.1246 0.5000 x12  1 Ho 3.11, 4 Y 3.17-3.36

Calculated values
formation energy from the elements = 0.385 eV per atom
total energy = -5.43 eV/atom
ρ = 5.71 Mg/m³
DOS(E_F) = 90.50 states/eV/cell

=====

[6]
This record from Alexandria describes an optimized crystal structure of DyYHo4. The functional is GGA-PBE.

Unit cell a=9.2429 b=9.2429 c=9.2429 alpha=90.00 beta=90.00 gamma=90.00
With the nearest neighbours (Å) after each atom.
Space group F-43m (No. 216)
One atom of each set of equivalent atoms:
Dy 0.0000 0.0000 0.0000 x4  12 Ho 3.83, 4 Y 4.00
Y 0.2500 0.2500 0.7500 x4  12 Ho 3.83, 4 Dy 4.00
Ho 0.1250 0.1250 0.3750 x16  6 Ho 3.27

Calculated values
formation energy from the elements = 0.253 eV per atom
total energy = -4.64 eV/atom
ρ = 7.66 Mg/m³
DOS(E_F) = 41.76 states/eV/cell
polymorph energy (0 for the lowest one) = 1.39 eV per formula unit

=====

[7]
This record from Alexandria describes an optimized crystal structure of DyYHo3. The functional is GGA-PBE.

Unit cell a=6.2582 b=6.6813 c=9.1619 alpha=72.33 beta=89.99 gamma=62.13
With the nearest neighbours (Å) after each atom.
Space group P-1 (No. 2)
One atom of each set of equivalent atoms:
Dy 0.0340 0.1013 0.1493 x2  9 Ho 3.50-3.62, 1 Dy 3.50, 2 Y 3.62
Y 0.3654 0.1006 0.6504 x2  9 Ho 3.50-3.63, 1 Y 3.52, 2 Dy 3.62
Ho 0.1678 0.5007 0.2491 x2  3 Dy 3.50-3.60, 6 Ho 3.50-3.62, 3 Y 3.50-3.63
Ho 0.2324 0.7004 0.5497 x2  6 Ho 3.49-3.62, 4 Y 3.50-3.62, 2 Dy 3.51-3.62
Ho 0.4338 0.3009 0.9495 x2  6 Ho 3.49-3.62, 4 Dy 3.50-3.62, 2 Y 3.50-3.62

Calculated values
formation energy from the elements = 0.005 eV per atom
total energy = -4.96 eV/atom
ρ = 7.79 Mg/m³
DOS(E_F) = 18.48 states/eV/cell
polymorph energy (0 for the lowest one) = 0.00 eV per formula unit

=====

[8]
This record from Alexandria describes an optimized crystal structure of Dy2Y5Ho3. The functional is GGA-PBE.

Unit cell a=10.6955 b=15.8937 c=9.3927 alpha=90.00 beta=124.66 gamma=90.00
With the nearest neighbours (Å) after each atom.
Space group C2/c (No. 15)
One atom of each set of equivalent atoms:
Dy 0.1446 0.1209 0.0455 x8  3 Ho 3.14-3.41, 3 Y 3.31-3.49
Y 0.0000 0.2303 0.2500 x4  5 Ho 3.21-3.53, 2 Dy 3.53
Y 0.0000 0.2715 0.7500 x4  1 Y 3.17, 2 Dy 3.31
Y 0.0000 0.4711 0.7500 x4  3 Y 3.17-3.51, 4 Ho 3.31-3.45, 2 Dy 3.46
Y 0.2448 0.3855 0.2398 x8  2 Dy 3.49-3.55, 3 Ho 3.51-3.55, 3 Y 3.51-3.66
Ho 0.0000 0.0282 0.2500 x4  3 Y 3.21-3.51, 4 Dy 3.29-3.41, 2 Ho 3.40
Ho 0.1523 0.3796 0.5481 x8  1 Dy 3.14, 4 Y 3.31-3.51, 1 Ho 3.40

Calculated values
formation energy from the elements = 0.193 eV per atom
total energy = -5.33 eV/atom
ρ = 6.39 Mg/m³
DOS(E_F) = 74.60 states/eV/cell

=====

[9]
This record from Alexandria describes an optimized crystal structure of Dy15YHo4. The functional is GGA-PBE.

Unit cell a=5.0080 b=5.0080 c=25.0380 alpha=90.00 beta=90.00 gamma=90.00
With the nearest neighbours (Å) after each atom.
Space group P4/mmm (No. 123)
One atom of each set of equivalent atoms:
Dy 0.0000 0.0000 0.0000 x1  4 Y 3.54, 8 Dy 3.55
Dy 0.0000 0.0000 0.2002 x2  8 Dy 3.54, 4 Ho 3.54
Dy 0.0000 0.0000 0.4000 x2  8 Dy 3.54, 4 Ho 3.54
Dy 0.0000 0.5000 0.1005 x4  2 Ho 3.53, 8 Dy 3.54-3.55, 2 Y 3.55
Dy 0.0000 0.5000 0.3001 x4  8 Dy 3.54, 4 Ho 3.54
Dy 0.0000 0.5000 0.5000 x2  4 Ho 3.54, 8 Dy 3.54
Y 0.5000 0.5000 0.0000 x1  12 Dy 3.54-3.55
Ho 0.5000 0.5000 0.2002 x2  12 Dy 3.53-3.54
Ho 0.5000 0.5000 0.4000 x2  12 Dy 3.54

Calculated values
formation energy from the elements = 0.019 eV per atom
total energy = -4.67 eV/atom
ρ = 8.43 Mg/m³
DOS(E_F) = 26.03 states/eV/cell

=====

[10]
This record from Alexandria describes an optimized crystal structure of Dy4Y2Ho5. The functional is GGA-PBE.

Unit cell a=3.5342 b=8.6735 c=11.7413 alpha=75.86 beta=81.41 gamma=89.99
With the nearest neighbours (Å) after each atom.
Space group P-1 (No. 2)
One atom of each set of equivalent atoms:
Dy 0.0457 0.3624 0.4084 x2  3 Ho 3.52-3.53, 5 Dy 3.53-3.57, 4 Y 3.55
Dy 0.3178 0.5451 0.8642 x2  6 Dy 3.53-3.54, 5 Ho 3.53-3.55, 1 Y 3.54
Y 0.4092 0.2725 0.6820 x2  2 Y 3.53, 5 Ho 3.54-3.55, 5 Dy 3.54-3.55
Ho 0.1363 0.0918 0.2269 x2  3 Dy 3.52-3.54, 7 Ho 3.52-3.55, 2 Y 3.54-3.55
Ho 0.2280 0.8194 0.0443 x2  7 Ho 3.52-3.54, 3 Dy 3.53-3.55, 2 Y 3.55
Ho 0.5000 0.0000 0.5000 x1  4 Dy 3.53, 6 Ho 3.53-3.55, 2 Y 3.54

Calculated values
formation energy from the elements = 0.020 eV per atom
total energy = -4.91 eV/atom
ρ = 7.96 Mg/m³
DOS(E_F) = 14.69 states/eV/cell
polymorph energy (0 for the lowest one) = 0.00 eV per formula unit

=====

[11]
This record from Alexandria describes an optimized crystal structure of DyY2Ho. The functional is GGA-PBE.

Unit cell a=5.0254 b=5.0254 c=5.0259 alpha=90.00 beta=90.00 gamma=90.00
With the nearest neighbours (Å) after each atom.
Space group P4/mmm (No. 123)
One atom of each set of equivalent atoms:
Dy 0.0000 0.0000 0.0000 x1  4 Ho 3.55, 8 Y 3.55
Y 0.0000 0.5000 0.5000 x2  4 Y 3.55, 4 Dy 3.55, 4 Ho 3.55
Ho 0.5000 0.5000 0.0000 x1  4 Dy 3.55, 8 Y 3.55

Calculated values
formation energy from the elements = 0.025 eV per atom
total energy = -5.50 eV/atom
ρ = 6.61 Mg/m³
DOS(E_F) = 5.94 states/eV/cell
polymorph energy (0 for the lowest one) = 0.08 eV per formula unit

=====

[12]
This record from Alexandria describes an optimized crystal structure of Dy3YHo3. The functional is GGA-PBE.

Unit cell a=6.1422 b=6.1422 c=42.4622 alpha=90.00 beta=90.00 gamma=120.00
With the nearest neighbours (Å) after each atom.
Space group R-3 (No. 148, hexagonal axes)
One atom of each set of equivalent atoms:
Dy 0.0001 0.3314 0.1328 x18  3 Ho 3.47-3.48, 9 Dy 3.52-3.56
Y 0.0000 0.0000 0.3333 x6  6 Ho 3.49-3.50, 3 Y 3.55
Ho 0.0001 0.3342 0.9332 x18  3 Dy 3.47-3.48, 2 Y 3.49-3.50, 6 Ho 3.54-3.55

Calculated values
formation energy from the elements = 0.143 eV per atom
total energy = -4.71 eV/atom
ρ = 7.69 Mg/m³
DOS(E_F) = 56.87 states/eV/cell
polymorph energy (0 for the lowest one) = 0.00 eV per formula unit